Record 1
VASP calculation (PBE-GGA) on crystalline Nd16Sm7Tm6 at its relaxed geometry.

Cell: 16.052 16.052 16.052 Å, 90.00 90.00 90.00°
Space group Fm-3m (No. 225)
One atom of each set of equivalent atoms:
Nd1 0.125 0.125 0.125 x32
Nd2 0.150 0.150 0.350 x32
Sm1 0.000 0.000 0.000 x4
Sm2 0.000 0.250 0.250 x24
Tm1 0.000 0.000 0.263 x24

Record 2
VASP calculation (PBE-GGA) on crystalline SrLa3Ru at its relaxed geometry.

Cell: 9.912 7.126 12.977 Å, 90.00 125.75 90.00°
Space group P2_1/c (No. 14)
One atom of each set of equivalent atoms:
Sr1 0.189 0.158 0.056 x4
La1 0.069 0.605 0.827 x4
La2 0.310 0.666 0.205 x4
La3 0.459 0.246 0.936 x4
Ru1 0.239 0.559 0.364 x4

Record 3
VASP calculation (PBE-GGA) on crystalline KAcNd at its relaxed geometry.

Cell: 11.788 3.756 14.283 Å, 90.00 112.68 90.00°
Space group C2/m (No. 12)
One atom of each set of equivalent atoms:
K1 0.081 0.000 0.400 x4
Ac1 0.228 0.500 0.206 x4
Nd1 0.110 0.500 0.935 x4

Record 4
VASP calculation (PBE-GGA) on crystalline YSnO at its relaxed geometry.

Cell: 3.7052 3.7052 6.0492 Å, 90.00 90.00 120.00°
Space group P-6m2 (No. 187)
One atom of each set of equivalent atoms:
Y1 0.0000 0.0000 0.0000 x1
Sn1 0.6667 0.3333 0.5000 x1
O1 0.3333 0.6667 0.0000 x1

Record 5
VASP calculation (PBE-GGA) on crystalline Sr5P3ClO12 at its relaxed geometry.

Cell: 10.0330 10.0330 7.2423 Å, 90.00 90.00 120.00°
Space group P6_3/m (No. 176)
One atom of each set of equivalent atoms:
Sr1 0.0036 0.2556 0.2500 x6
Sr2 0.3333 0.6667 0.0012 x4
P1 0.0338 0.4064 0.7500 x6
Cl1 0.0000 0.0000 0.0000 x2
O1 0.0877 0.3552 0.5762 x12
O2 0.1205 0.5865 0.7500 x6
O3 0.1438 0.6616 0.2500 x6

Record 6
VASP calculation (PBE-GGA) on crystalline Y4Tm3Pu at its relaxed geometry.

Cell: 3.416 11.504 12.699 Å, 90.00 90.00 90.00°
Space group Immm (No. 71)
One atom of each set of equivalent atoms:
Y1 0.000 0.249 0.131 x8
Tm1 0.000 0.000 0.500 x2
Tm2 0.000 0.500 0.262 x4
Pu1 0.000 0.000 0.000 x2

Across the entries above, electronic total energy takes the values -4.47; -5.25; -3.00; -6.91; -7.00; -6.54 eV/atom, respectively.